Compound: Sr3Al3Ag2
Source: Alexandria via LeMat-Bulk
Functional: PBE
Structure: relaxed

```
32
Lattice="-1.429 2.481 -5.443 -1.441 -7.981 -3.259 -15.750 0.975 4.578" Properties=species:S:1:pos:R:3 pbc="T T T"
Al -3.024 -4.303 -7.317
Al -13.153 -0.531 -0.909
Al -14.323 -3.741 -4.251
Al -8.880 -0.637 1.241
Al -5.467 -3.994 -3.216
Al -16.703 -3.542 0.095
Al -15.597 -0.221 3.193
Al -8.634 -0.567 -2.267
Al -4.297 -0.784 0.126
Al -9.741 -3.888 -5.365
Al -9.986 -3.958 -1.858
Al -1.917 -0.983 -4.219
Ag -15.596 -5.977 0.563
Ag -3.361 -3.203 -4.858
Ag -8.018 -2.914 -3.504
Ag -3.024 1.453 -4.688
Ag -15.259 -1.322 0.733
Ag -10.939 -6.266 -0.790
Ag -7.681 1.741 -3.334
Ag -10.602 -1.610 -0.620
Sr -6.381 -3.996 -6.357
Sr -11.617 -1.553 -3.776
Sr -10.524 1.791 -0.729
Sr -2.533 -3.248 -1.648
Sr -8.096 -6.315 -3.396
Sr -14.995 2.067 0.571
Sr -3.626 -6.592 -4.695
Sr -16.087 -1.277 -2.476
Sr -7.003 -2.971 -0.349
Sr -12.240 -0.528 2.233
Sr -13.371 -3.806 -0.961
Sr -5.249 -0.719 -3.163
```

* mass density: 4.2 g/cm3
* DFT formation energy: -0.1965 eV/atom
* E_tot: -2.94 eV per atom

***

Compound: SrAl4Ag
Source: Alexandria via LeMat-Bulk
Functional: PBE
Structure: relaxed

```
12
Lattice="-5.787 3.546 3.779 -4.968 -3.786 -1.208 3.923 -5.009 2.703" Properties=species:S:1:pos:R:3 pbc="T T T"
Al -3.425 -1.764 3.820
Al -2.109 -5.895 2.287
Al 0.702 -2.165 1.769
Al -4.724 0.647 2.987
Al -7.534 -3.083 3.505
Al -1.315 -3.404 3.237
Al -5.517 -1.844 2.037
Al -3.407 -3.484 1.454
Sr -4.451 -4.979 4.685
Sr -2.381 -0.270 0.589
Ag -0.522 -4.397 0.748
Ag -0.932 -0.731 3.241
```

* mass density: 3.7 g/cm3
* DFT formation energy: -0.0933 eV/atom
* E_tot: -3.34 eV per atom

***

Compound: Sr2AlAg
Source: Alexandria via LeMat-Bulk
Functional: PBE
Structure: relaxed

```
8
Lattice="8.726 0.000 0.000 0.000 8.726 0.000 4.363 4.363 3.663" Properties=species:S:1:pos:R:3 pbc="T T T"
Sr 2.047 6.544 0.916
Sr 6.678 2.181 0.916
Sr 6.544 6.410 2.748
Sr 10.907 11.041 2.748
Al 4.363 8.726 1.832
Al 4.363 4.363 0.000
Ag 0.000 0.000 0.000
Ag 8.726 4.363 1.832
```

* mass density: 3.7 g/cm3
* DFT formation energy: 0.1526 eV/atom
* E_tot: -2.34 eV per atom

***

Repeat the first record exactly.
Compound: Sr3Al3Ag2
Source: Alexandria via LeMat-Bulk
Functional: PBE
Structure: relaxed

```
32
Lattice="-1.429 2.481 -5.443 -1.441 -7.981 -3.259 -15.750 0.975 4.578" Properties=species:S:1:pos:R:3 pbc="T T T"
Al -3.024 -4.303 -7.317
Al -13.153 -0.531 -0.909
Al -14.323 -3.741 -4.251
Al -8.880 -0.637 1.241
Al -5.467 -3.994 -3.216
Al -16.703 -3.542 0.095
Al -15.597 -0.221 3.193
Al -8.634 -0.567 -2.267
Al -4.297 -0.784 0.126
Al -9.741 -3.888 -5.365
Al -9.986 -3.958 -1.858
Al -1.917 -0.983 -4.219
Ag -15.596 -5.977 0.563
Ag -3.361 -3.203 -4.858
Ag -8.018 -2.914 -3.504
Ag -3.024 1.453 -4.688
Ag -15.259 -1.322 0.733
Ag -10.939 -6.266 -0.790
Ag -7.681 1.741 -3.334
Ag -10.602 -1.610 -0.620
Sr -6.381 -3.996 -6.357
Sr -11.617 -1.553 -3.776
Sr -10.524 1.791 -0.729
Sr -2.533 -3.248 -1.648
Sr -8.096 -6.315 -3.396
Sr -14.995 2.067 0.571
Sr -3.626 -6.592 -4.695
Sr -16.087 -1.277 -2.476
Sr -7.003 -2.971 -0.349
Sr -12.240 -0.528 2.233
Sr -13.371 -3.806 -0.961
Sr -5.249 -0.719 -3.163
```

* mass density: 4.2 g/cm3
* DFT formation energy: -0.1965 eV/atom
* E_tot: -2.94 eV per atom

***

E_tot of number 1 (Sr3Al3Ag2)?
-2.94 eV per atom

***

Which value of mass density does entry 3 give?
3.7 g/cm3

***

Copy entry 2 word for word.
Compound: SrAl4Ag
Source: Alexandria via LeMat-Bulk
Functional: PBE
Structure: relaxed

```
12
Lattice="-5.787 3.546 3.779 -4.968 -3.786 -1.208 3.923 -5.009 2.703" Properties=species:S:1:pos:R:3 pbc="T T T"
Al -3.425 -1.764 3.820
Al -2.109 -5.895 2.287
Al 0.702 -2.165 1.769
Al -4.724 0.647 2.987
Al -7.534 -3.083 3.505
Al -1.315 -3.404 3.237
Al -5.517 -1.844 2.037
Al -3.407 -3.484 1.454
Sr -4.451 -4.979 4.685
Sr -2.381 -0.270 0.589
Ag -0.522 -4.397 0.748
Ag -0.932 -0.731 3.241
```

* mass density: 3.7 g/cm3
* DFT formation energy: -0.0933 eV/atom
* E_tot: -3.34 eV per atom